(1)
A relaxed structure of Cs3CuSn. Source: the Alexandria database, functional PBE-GGA.

Output
* density of states at the Fermi level: 0.916 states/eV/atom
* E_tot: -1.82 eV/atom
* magnetic moment: 2.0 μB per formula unit

Cell: 6.690 6.690 6.690 Å, 90.00 90.00 90.00°
Site moments in Bohr magnetons follow the coordinates.
Fractional coordinates of all 5 atoms:
1 Cu 0.000 0.000 0.000  0.01
2 Cs 0.000 0.000 0.500  0.01
3 Cs 0.000 0.500 0.000  0.01
4 Cs 0.500 0.000 0.000  0.02
5 Sn 0.500 0.500 0.500  0.58



(2)
A relaxed structure of KScCuCl5. Source: the Alexandria database, functional PBE-GGA.

Output
* E_tot: -4.26 eV/atom
* formation energy from raw total energies: -1.66 eV/atom
* magnetic moment: 0.1 μB per formula unit

Cell: 7.162 7.162 9.579 Å, 103.31 103.31 107.19°
Site moments in Bohr magnetons follow the coordinates.
Fractional coordinates of all 16 atoms:
1 Cl 0.701 0.099 0.398  0.01
2 Cl 0.930 0.070 0.750  0.00
3 Cl 0.070 0.930 0.250  0.00
4 Cl 0.761 0.633 0.427  0.01
5 Cl 0.633 0.761 0.927  0.01
6 Cl 0.901 0.299 0.102  0.01
7 Cl 0.099 0.701 0.898  0.01
8 Cl 0.299 0.901 0.602  0.01
9 Cl 0.239 0.367 0.573  0.01
10 Cl 0.367 0.239 0.073  0.01
11 Cu 0.311 0.689 0.750  0.12
12 Cu 0.689 0.311 0.250  0.12
13 K 0.657 0.343 0.750  0.00
14 K 0.343 0.657 0.250  0.00
15 Sc 0.000 0.000 0.000  0.00
16 Sc 0.000 0.000 0.500  0.00



(3)
A relaxed structure of Dy3GaIr8. Source: the Alexandria database, functional PBE-GGA.

Output
* density of states at the Fermi level: 1.326 states/eV/atom
* E_tot: -7.89 eV/atom
* magnetic moment: 0.0 μB per formula unit

Cell: 5.334 5.334 9.220 Å, 73.19 73.19 60.00°
Fractional coordinates of all 12 atoms:
1 Ir 0.061 0.562 0.316
2 Ir 0.311 0.311 0.067
3 Ir 0.061 0.061 0.316
4 Ir 0.062 0.562 0.815
5 Ir 0.562 0.061 0.316
6 Ir 0.562 0.062 0.815
7 Ir 0.562 0.562 0.815
8 Ir 0.811 0.811 0.568
9 Ga 0.134 0.134 0.598
10 Dy 0.495 0.495 0.515
11 Dy 0.007 0.007 0.978
12 Dy 0.624 0.624 0.128